1.
A PBEsol-optimized structure of LaMgP. Source: Alexandria, functional SCAN.

Lattice parameters (Å, degrees): 4.4870 5.4452 11.9058 90.00 90.00 90.00
Closest atoms and distances in Å follow each position.
Space group Fmm2 (No. 42)
One atom of each set of equivalent atoms:
La1 0.0000 0.0000 0.0000  2 P 2.83
Mg1 0.0000 0.0000 0.2707  2 P 2.69
P1 0.0000 0.0000 0.6454  2 Mg 2.69, 2 La 2.83

Computed properties:
The electronic total energy comes out at -0.74031 Ha/atom. The calculation puts the volume at 290.9 Å³ per cell.

2.
A PBEsol-optimized structure of La2MgP. Source: Alexandria, functional SCAN.

Lattice parameters (Å, degrees): 4.0172 4.0172 17.7553 90.00 90.00 120.00
Closest atoms and distances in Å follow each position.
Space group P6_3/mmc (No. 194)
One atom of each set of equivalent atoms:
La1 0.3333 0.6667 0.0952  3 P 2.87
Mg1 0.3333 0.6667 0.7500  6 La 3.60, 6 Mg 4.02
P1 0.0000 0.0000 0.0000  6 La 2.87

Computed properties:
The electronic total energy comes out at -0.96266 Ha/atom. The calculation puts the volume at 248.1 Å³ per cell. For the energy above the most stable polymorph in this dataset, the calculation gives 0.0000 eV per atom.

3.
A PBEsol-optimized structure of LaMgP2. Source: Alexandria, functional SCAN.

Lattice parameters (Å, degrees): 4.1018 4.1018 5.6223 90.00 90.00 90.00
Closest atoms and distances in Å follow each position.
Space group P4/mmm (No. 123)
One atom of each set of equivalent atoms:
La1 0.0000 0.0000 0.0000  6 P 2.81-2.90
Mg1 0.5000 0.5000 0.5000  6 P 2.81-2.90
P1 0.0000 0.0000 0.5000  2 La 2.81, 4 Mg 2.90
P2 0.5000 0.5000 0.0000  2 Mg 2.81, 4 La 2.90

Computed properties:
The electronic total energy comes out at -0.66497 Ha/atom. The calculation puts the volume at 94.6 Å³ per cell.

Which formula does entry 1 have? LaMgP

Among the records above, which one has the lowest electronic total energy? La2MgP

Look up the electronic total energy of the second one. -0.96266 Ha/atom